Entry 1:
## NaEuBi2 (PBE)

Data for a relaxed NaEuBi2 crystal.

Calculated values
* N(E_F): 6.43 states/eV per cell
* energy above the lowest structure with this stoichiometry: 0.000 eV per atom
* ΔE_f: -0.572 eV/atom
* calculated density: 8.03 g/cm3

a = 5.1315 Å, b = 5.1315 Å, c = 4.6577 Å
α = 90.00°, β = 90.00°, γ = 90.00°
Space group P4/mmm (No. 123)
Asymmetric unit:
Na: 0.0000 0.0000 0.0000 [1 per cell]
Eu: 0.5000 0.5000 0.0000 [1 per cell]
Bi: 0.0000 0.5000 0.5000 [2 per cell]

Entry 2:
## Na2EuBi (PBE)

Data for a relaxed Na2EuBi crystal.

Calculated values
* N(E_F): 9.90 states/eV per cell
* energy above the lowest structure with this stoichiometry: 0.468 eV per atom
* ΔE_f: 0.081 eV/atom
* calculated density: 4.62 g/cm3

a = 3.6112 Å, b = 3.6112 Å, c = 38.8147 Å
α = 90.00°, β = 90.00°, γ = 120.00°
Space group R-3m (No. 166, hexagonal axes)
Asymmetric unit:
Na: 0.0000 0.0000 0.0806 [6 per cell]
Eu: 0.0000 0.0000 0.5000 [3 per cell]
Bi: 0.0000 0.0000 0.0000 [3 per cell]

Entry 3:
## NaEuBi2 (PBE)

Data for a relaxed NaEuBi2 crystal.

Calculated values
* N(E_F): 10.58 states/eV per cell
* energy above the lowest structure with this stoichiometry: 0.064 eV per atom
* ΔE_f: -0.508 eV/atom
* calculated density: 7.76 g/cm3

a = 4.2186 Å, b = 4.2186 Å, c = 7.1285 Å
α = 90.00°, β = 90.00°, γ = 90.00°
Space group P4/mmm (No. 123)
Asymmetric unit:
Na: 0.0000 0.0000 0.0000 [1 per cell]
Eu: 0.0000 0.0000 0.5000 [1 per cell]
Bi: 0.5000 0.5000 0.2574 [2 per cell]

Entry 4:
## NaEu2Bi (PBE)

Data for a relaxed NaEu2Bi crystal.

Calculated values
* N(E_F): 13.77 states/eV per cell
* energy above the lowest structure with this stoichiometry: 0.038 eV per atom
* ΔE_f: -0.427 eV/atom
* calculated density: 6.09 g/cm3

a = 4.2607 Å, b = 4.2607 Å, c = 8.0470 Å
α = 90.00°, β = 90.00°, γ = 90.00°
Space group P4/mmm (No. 123)
Asymmetric unit:
Na: 0.0000 0.0000 0.0000 [1 per cell]
Eu: 0.5000 0.5000 0.2904 [2 per cell]
Bi: 0.0000 0.0000 0.5000 [1 per cell]

Entry 5:
## Na2EuBi (PBE)

Data for a relaxed Na2EuBi crystal.

Calculated values
* N(E_F): 11.83 states/eV per cell
* energy above the lowest structure with this stoichiometry: 0.000 eV per atom
* ΔE_f: -0.388 eV/atom
* calculated density: 5.22 g/cm3

a = 4.8223 Å, b = 4.8223 Å, c = 5.5660 Å
α = 90.00°, β = 90.00°, γ = 90.00°
Space group P4/mmm (No. 123)
Asymmetric unit:
Na: 0.0000 0.5000 0.0000 [2 per cell]
Eu: 0.0000 0.0000 0.5000 [1 per cell]
Bi: 0.5000 0.5000 0.5000 [1 per cell]

Entry 6:
## NaEu2Bi (PBE)

Data for a relaxed NaEu2Bi crystal.

Calculated values
* N(E_F): 8.75 states/eV per cell
* energy above the lowest structure with this stoichiometry: 0.027 eV per atom
* ΔE_f: -0.438 eV/atom
* calculated density: 6.69 g/cm3

a = 8.1041 Å, b = 8.1041 Å, c = 8.1041 Å
α = 90.00°, β = 90.00°, γ = 90.00°
Space group Fm-3m (No. 225)
Asymmetric unit:
Na: 0.0000 0.0000 0.0000 [4 per cell]
Eu: 0.2500 0.2500 0.2500 [8 per cell]
Bi: 0.0000 0.0000 0.5000 [4 per cell]

Entry 7:
## NaEuBiPd (PBE)

Data for a relaxed NaEuBiPd crystal.

Calculated values
* N(E_F): 53.82 states/eV per cell
* ΔE_f: -0.513 eV/atom
* calculated density: 8.51 g/cm3

a = 7.2610 Å, b = 7.2610 Å, c = 7.2610 Å
α = 90.00°, β = 90.00°, γ = 90.00°
Space group F-43m (No. 216)
Asymmetric unit:
Na: 0.0000 0.0000 0.0000 [4 per cell]
Eu: 0.2500 0.2500 0.7500 [4 per cell]
Bi: 0.2500 0.2500 0.2500 [4 per cell]
Pd: 0.0000 0.0000 0.5000 [4 per cell]

Entry 8:
## NaEuBiPt (PBE)

Data for a relaxed NaEuBiPt crystal.

Calculated values
* N(E_F): 55.33 states/eV per cell
* ΔE_f: -0.529 eV/atom
* calculated density: 10.23 g/cm3

a = 7.2167 Å, b = 7.2167 Å, c = 7.2167 Å
α = 90.00°, β = 90.00°, γ = 90.00°
Space group F-43m (No. 216)
Asymmetric unit:
Na: 0.0000 0.0000 0.0000 [4 per cell]
Eu: 0.2500 0.2500 0.2500 [4 per cell]
Bi: 0.2500 0.2500 0.7500 [4 per cell]
Pt: 0.0000 0.0000 0.5000 [4 per cell]

Number 1: electronic total energy -21.65 eV/cell. Number 2: electronic total energy -49.41 eV/cell. Number 3: electronic total energy -21.39 eV/cell. Number 4: electronic total energy -27.46 eV/cell. Number 5: electronic total energy -18.34 eV/cell. Number 6: electronic total energy -110.00 eV/cell. Number 7: electronic total energy -90.87 eV/cell. Number 8: electronic total energy -94.53 eV/cell.